Computed, not measured: a relaxed U3Ta crystal at the GGA-PBE level of DFT.

Summary:
Total magnetic moment = 0.0 μB/f.u.
Formation energy from the elements = 357 meV per atom
SG = P6_3/mmc, No. 194

Unit cell a=5.959 b=5.959 c=5.443 alpha=90.00 beta=90.00 gamma=120.00
Sites, in units of the cell vectors:
U: 0.646 0.823 0.250
U: 0.823 0.177 0.750
U: 0.177 0.823 0.250
Ta: 0.667 0.333 0.250
U: 0.354 0.177 0.750
U: 0.823 0.646 0.750
Ta: 0.333 0.667 0.750
U: 0.177 0.354 0.250

---

Computed, not measured: a relaxed B5C7 crystal at the GGA-PBE level of DFT.

Summary:
Total magnetic moment = 0.0 μB/f.u.
Formation energy from the elements = 364 meV per atom
E above lowest polymorph = 105.7 meV per atom
SG = Pm, No. 6

Unit cell a=2.549 b=4.549 c=6.801 alpha=91.05 beta=90.00 gamma=90.00
Sites, in units of the cell vectors:
B: 0.500 0.881 0.366
C: 0.500 0.836 0.597
B: 0.000 0.308 0.350
B: 0.000 0.981 0.024
B: 0.500 0.477 0.207
B: 0.500 0.179 0.900
C: 0.000 0.674 0.669
C: 0.000 0.961 0.255
C: 0.500 0.178 0.667
C: 0.000 0.337 0.588
C: 0.000 0.655 0.896
C: 0.500 0.533 0.981

---

Computed, not measured: a relaxed Cu2IrBr crystal at the GGA-PBE level of DFT.

Summary:
Energy relative to the elements, uncorrected = 3.51 eV per formula unit
Total magnetic moment = 0.1 μB/f.u.
E above lowest polymorph = 479.5 meV per atom
SG = Fm-3m, No. 225

Unit cell a=4.435 b=4.435 c=4.435 alpha=60.00 beta=60.00 gamma=60.00
Sites, in units of the cell vectors:
Ir: 0.500 0.500 0.500
Cu: 0.250 0.250 0.250
Br: 0.000 0.000 0.000
Cu: 0.750 0.750 0.750

---

Computed, not measured: a relaxed Ac2ScZn3In4 crystal at the GGA-PBE level of DFT.

Summary:
Total magnetic moment = 0.0 μB/f.u.
Formation energy from the elements = -356 meV per atom
SG = P-4m2, No. 115

Unit cell a=4.637 b=4.637 c=11.941 alpha=90.00 beta=90.00 gamma=90.00
Sites, in units of the cell vectors:
Sc: 0.500 0.500 0.500
Ac: 0.500 0.000 0.240
In: 0.500 0.000 0.644
Zn: 0.000 0.500 0.133
Zn: 0.500 0.000 0.867
In: 0.000 0.500 0.356
In: 0.000 0.000 0.000
Zn: 0.000 0.000 0.500
In: 0.500 0.500 0.000
Ac: 0.000 0.500 0.760

---

Computed, not measured: a relaxed CdAs2Se crystal at the GGA-PBE level of DFT.

Summary:
Energy relative to the elements, uncorrected = 1.08 eV per formula unit
Total magnetic moment = 0.0 μB/f.u.
E above lowest polymorph = 385.4 meV per atom
SG = Pmmm, No. 47

Unit cell a=2.909 b=5.392 c=5.734 alpha=90.00 beta=90.00 gamma=90.00
Sites, in units of the cell vectors:
As: 0.000 0.000 0.459
Se: 0.500 0.500 0.750
As: 0.000 0.000 0.041
Cd: 0.500 0.500 0.250

---

Computed, not measured: a relaxed Er4AlSi3 crystal at the GGA-PBE level of DFT.

Summary:
Energy relative to the elements, uncorrected = -3.42 eV per formula unit
Total magnetic moment = 0.0 μB/f.u.
SG = P4/mmm, No. 123

Unit cell a=3.654 b=3.654 c=12.921 alpha=90.00 beta=90.00 gamma=90.00
Sites, in units of the cell vectors:
Er: 0.500 0.500 0.867
Er: 0.500 0.500 0.624
Er: 0.500 0.500 0.376
Si: 0.000 0.000 0.752
Si: 0.000 0.000 0.500
Al: 0.000 0.000 0.000
Si: 0.000 0.000 0.248
Er: 0.500 0.500 0.133